First-principles (PBE) data for crystalline Pr2NdCo at its relaxed geometry, as listed in Alexandria.

Summary:
ρ: 6.9 g cm⁻³
ΔE_f: 0.079 eV per atom
Crystal system: tetragonal
Density of states at the Fermi level: 5.220 states/eV per cell
Uncorrected energy: -5.279 eV per atom

Cell: 3.549 3.549 9.248 Å, 90.00 90.00 90.00°
Positions (direct):
1 Pr 0.000 0.000 0.183
2 Pr 0.000 0.000 0.817
3 Nd 0.500 0.500 0.500
4 Co 0.500 0.500 0.000